No. 1
Computed, not measured: crystalline CsLiAl2Ni at its relaxed geometry at the GGA-PBE level of DFT.

Structure (extended XYZ):
```
5
Lattice="-3.927 0.044 2.491 -1.385 -4.955 -2.095 2.205 -2.102 3.514" Properties=species:S:1:pos:R:3 pbc="T T T"
Cs -1.553 -3.506 1.955
Ni 0.000 0.000 0.000
Al 1.102 -1.051 1.757
Al -1.963 0.022 1.245
Li -0.692 -2.478 -1.047
```

**Energy of formation from the pure elements**: 59 meV per atom
**Fermi-level density of states**: 0.7 states/eV/cell
**VASP energy**: -15.7 eV per cell


No. 2
Computed, not measured: crystalline Cs2LiAlPd at its relaxed geometry at the GGA-PBE level of DFT.

Structure (extended XYZ):
```
5
Lattice="-3.866 -4.336 -3.623 3.668 -3.708 0.523 -2.995 -2.149 5.769" Properties=species:S:1:pos:R:3 pbc="T T T"
Cs -1.498 -1.075 2.885
Cs -1.933 -2.168 -1.811
Al 0.000 0.000 0.000
Pd -1.597 -5.097 1.335
Li 1.834 -1.854 0.262
```

**Energy of formation from the pure elements**: 677 meV per atom
**Fermi-level density of states**: 5.0 states/eV/cell
**VASP energy**: -9.2 eV per cell


No. 3
Computed, not measured: crystalline CsLiAlSb2 at its relaxed geometry at the GGA-PBE level of DFT.

Structure (extended XYZ):
```
10
Lattice="-3.561 -1.302 -0.740 -1.571 -4.847 6.001 -5.996 6.978 6.496" Properties=species:S:1:pos:R:3 pbc="T T T"
Cs -7.835 -0.217 7.836
Cs -3.293 1.046 3.921
Li -7.270 3.869 8.009
Li -3.858 -3.040 3.748
Al -5.317 5.312 6.157
Al -5.811 -4.483 5.599
Sb -4.723 -2.086 6.228
Sb -6.406 2.916 5.529
Sb -3.806 -1.757 1.239
Sb -7.322 2.587 10.518
```

**Fermi-level density of states**: 2.4 states/eV/cell
**Uncorrected formation energy**: -377 meV/atom
**VASP energy**: -33.3 eV per cell


No. 4
Computed, not measured: crystalline CsLiAlSe2 at its relaxed geometry at the GGA-PBE level of DFT.

Structure (extended XYZ):
```
5
Lattice="-2.016 4.587 -1.447 -4.860 -1.936 0.633 0.020 1.577 4.971" Properties=species:S:1:pos:R:3 pbc="T T T"
Cs -3.428 2.114 2.079
Al 0.000 0.000 0.000
Se 0.010 0.788 2.486
Se -1.008 2.293 -0.724
Li -2.430 -0.968 0.317
```

**Fermi-level density of states**: 2.1 states/eV/cell
**Uncorrected formation energy**: -457 meV/atom
**VASP energy**: -15.8 eV per cell


No. 5
Computed, not measured: crystalline CsLiAl2Te4 at its relaxed geometry at the GGA-PBE level of DFT.

Structure (extended XYZ):
```
8
Lattice="-5.834 2.837 -2.784 -5.711 1.747 4.799 -0.490 7.645 -0.135" Properties=species:S:1:pos:R:3 pbc="T T T"
Cs 0.000 0.000 0.000
Li -6.018 6.114 0.940
Al -3.046 3.727 1.232
Al -8.989 8.501 0.648
Te -3.683 5.351 -0.509
Te -5.601 5.539 3.702
Te -8.229 4.662 -0.127
Te -6.558 8.904 0.694
```

**Uncorrected formation energy**: -415 meV/atom
**VASP energy**: -26.1 eV per cell


No. 6
Computed, not measured: crystalline CsLiAlTe3 at its relaxed geometry at the GGA-PBE level of DFT.

Structure (extended XYZ):
```
12
Lattice="-5.792 4.744 1.616 -4.736 -5.360 -1.241 2.753 0.618 8.055" Properties=species:S:1:pos:R:3 pbc="T T T"
Cs -4.175 2.656 4.466
Cs -3.599 -2.653 3.965
Li -1.132 -0.507 6.509
Li -6.643 0.509 1.922
Al -1.395 0.901 1.432
Al -6.380 -0.898 6.998
Te -1.268 0.223 3.876
Te -1.152 -1.303 -0.302
Te -6.480 -1.684 -0.131
Te -4.048 1.069 0.506
Te -3.584 -4.056 -0.939
Te -6.507 -0.221 4.554
```

**Fermi-level density of states**: 5.5 states/eV/cell
**Uncorrected formation energy**: -655 meV/atom
**VASP energy**: -39.7 eV per cell


No. 7
Computed, not measured: crystalline Cs2MgAl at its relaxed geometry at the GGA-PBE level of DFT.

Structure (extended XYZ):
```
8
Lattice="6.193 -8.648 0.330 -7.839 5.973 4.014 -6.020 -3.782 -7.918" Properties=species:S:1:pos:R:3 pbc="T T T"
Cs -8.404 -2.873 -2.474
Cs -6.690 3.058 1.828
Cs -10.611 2.116 -1.892
Cs -3.659 -0.594 -0.926
Mg -0.823 -1.337 2.172
Mg -0.325 -6.884 -2.708
Al 0.000 0.000 0.000
Al -7.341 0.427 -0.866
```

**Energy of formation from the pure elements**: 337 meV per atom
**Fermi-level density of states**: 7.8 states/eV/cell
**VASP energy**: -11.4 eV per cell


No. 8
Computed, not measured: crystalline CsMg14Al at its relaxed geometry at the GGA-PBE level of DFT.

Structure (extended XYZ):
```
16
Lattice="3.506 -5.409 0.000 3.506 5.409 0.000 0.000 0.000 10.632" Properties=species:S:1:pos:R:3 pbc="T T T"
Cs 3.506 2.440 5.316
Mg 3.506 -4.067 0.000
Mg 3.506 1.579 0.000
Mg 2.015 -0.531 5.316
Mg 2.007 -1.203 0.000
Mg 4.997 -0.531 5.316
Mg 5.006 -1.203 0.000
Mg 1.740 0.893 2.551
Mg 1.740 0.893 8.081
Mg 5.273 0.893 2.551
Mg 5.273 0.893 8.081
Mg 3.506 -1.866 2.800
Mg 3.506 -1.866 7.831
Mg 3.506 3.741 2.188
Mg 3.506 3.741 8.444
Al 3.506 -3.810 5.316
```

**Excess energy over the best structure of this formula in the dataset**: 0 kJ/mol of formula units
**Energy of formation from the pure elements**: 173 meV per atom
**Fermi-level density of states**: 7.4 states/eV/cell
**VASP energy**: -24.2 eV per cell